[1]
Density functional theory data (GGA-PBEsol) for InRhO3 after structural relaxation.

Results
The value obtained for the uncorrected formation energy is -1.16 eV/atom. As for the crystal system: monoclinic.

Cell: 7.5944 7.5734 10.6172 Å, 90.00 134.34 90.00°
With the nearest neighbours (Å) after each atom.
Space group P2_1/c (No. 14)
Inequivalent atoms, fractional coordinates:
In 0.0453 0.2378 0.2766  6 O 2.13-2.31
In 0.4521 0.7449 0.7306  6 O 2.13-2.30
Rh 0.0000 0.0000 0.0000  6 O 2.03-2.06
Rh 0.0000 0.0000 0.5000  6 O 2.03-2.05
Rh 0.5000 0.0000 0.0000  6 O 2.03-2.08
Rh 0.5000 0.0000 0.5000  6 O 2.05-2.09
O 0.0699 0.7478 0.9724  2 Rh 2.03-2.06, 2 In 2.13-2.20
O 0.1490 0.5365 0.7491  2 Rh 2.04-2.09, 1 In 2.15
O 0.2238 0.5947 0.2515  2 Rh 2.03-2.05, 2 In 2.14-2.25
O 0.2816 0.0951 0.5341  2 Rh 2.03-2.06, 2 In 2.13-2.24
O 0.3430 0.0273 0.0987  2 Rh 2.03-2.08, 1 In 2.18
O 0.4260 0.2491 0.9006  2 Rh 2.04-2.05, 2 In 2.15-2.19

---

[2]
Density functional theory data (GGA-PBEsol) for Sr3InRhO6 after structural relaxation.

Results
The value obtained for the uncorrected formation energy is -2.18 eV/atom. As for the crystal system: trigonal.

Cell: 9.5549 9.5549 11.4546 Å, 90.00 90.00 120.00°
With the nearest neighbours (Å) after each atom.
Space group R-3c (No. 167, hexagonal axes)
Inequivalent atoms, fractional coordinates:
Sr 0.0000 0.3686 0.2500  8 O 2.50-2.68
In 0.0000 0.0000 0.2500  6 O 2.22
Rh 0.0000 0.0000 0.0000  6 O 2.05
O 0.0201 0.1748 0.3863  1 Rh 2.05, 1 In 2.22

---

Looking at E_tot for the records above, in order, we have -6.53; -6.55 eV/atom.